No. 1
Below is Pr2InGa after structural relaxation, with properties calculated at the PBE level.

Calculated values
energy relative to the elements: -0.515 eV per atom

Lattice parameters (Å, degrees): 3.798 3.798 7.725 90.00 90.00 90.00
Fractional coordinates of all 4 atoms:
Pr 0.000 0.000 0.236
Pr 0.000 0.000 0.764
In 0.500 0.500 0.500
Ga 0.500 0.500 0.000


No. 2
Below is Sm3Ga4Pd2 after structural relaxation, with properties calculated at the PBE level.

Calculated values
energy relative to the elements: -0.798 eV per atom

Lattice parameters (Å, degrees): 5.880 5.880 8.611 111.10 111.10 44.32
Fractional coordinates of all 9 atoms:
Sm 0.000 0.000 0.000
Sm 0.322 0.322 0.354
Sm 0.678 0.678 0.646
Ga 0.021 0.021 0.359
Ga 0.256 0.256 0.917
Ga 0.744 0.744 0.083
Ga 0.979 0.979 0.641
Pd 0.400 0.400 0.733
Pd 0.600 0.600 0.267


No. 3
Below is HoZnIn6 after structural relaxation, with properties calculated at the PBE level.

Calculated values
energy relative to the elements: -0.115 eV per atom

Lattice parameters (Å, degrees): 9.568 9.607 4.291 90.00 90.00 90.00
Fractional coordinates of all 16 atoms:
Ho 0.000 0.000 0.000
Ho 0.500 0.500 0.000
Zn 0.000 0.500 0.000
Zn 0.500 0.000 0.000
In 0.000 0.263 0.500
In 0.000 0.737 0.500
In 0.235 0.500 0.500
In 0.250 0.250 0.000
In 0.250 0.750 0.000
In 0.265 0.000 0.500
In 0.500 0.237 0.500
In 0.500 0.763 0.500
In 0.735 0.000 0.500
In 0.750 0.250 0.000
In 0.750 0.750 0.000
In 0.765 0.500 0.500


No. 4
Below is LaBe2Hg after structural relaxation, with properties calculated at the PBE level.

Calculated values
energy relative to the elements: -0.026 eV per atom

Lattice parameters (Å, degrees): 4.121 4.121 15.852 90.00 90.00 120.00
Fractional coordinates of all 12 atoms:
La 0.000 0.000 0.000
La 0.333 0.667 0.667
La 0.667 0.333 0.333
Be 0.000 0.000 0.197
Be 0.000 0.000 0.803
Be 0.333 0.667 0.470
Be 0.333 0.667 0.864
Be 0.667 0.333 0.136
Be 0.667 0.333 0.530
Hg 0.000 0.000 0.500
Hg 0.333 0.667 0.167
Hg 0.667 0.333 0.833


No. 5
Below is NaAl3Cu2 after structural relaxation, with properties calculated at the PBE level.

Calculated values
energy relative to the elements: -0.095 eV per atom

Lattice parameters (Å, degrees): 6.523 6.523 5.082 90.00 90.00 80.27
Fractional coordinates of all 12 atoms:
Na 0.134 0.866 0.750
Na 0.866 0.134 0.250
Al 0.040 0.576 0.250
Al 0.424 0.960 0.250
Al 0.449 0.551 0.250
Al 0.551 0.449 0.750
Al 0.576 0.040 0.750
Al 0.960 0.424 0.750
Cu 0.283 0.283 0.000
Cu 0.283 0.283 0.500
Cu 0.717 0.717 0.000
Cu 0.717 0.717 0.500


No. 6
Below is ErAg5Pd8 after structural relaxation, with properties calculated at the PBE level.

Calculated values
energy relative to the elements: -0.082 eV per atom

Lattice parameters (Å, degrees): 6.922 6.922 6.922 113.34 113.34 101.99
Fractional coordinates of all 14 atoms:
Er 0.000 0.000 0.000
Ag 0.178 0.034 0.577
Ag 0.399 0.822 0.856
Ag 0.456 0.601 0.423
Ag 0.750 0.250 0.500
Ag 0.966 0.544 0.144
Pd 0.099 0.347 0.428
Pd 0.209 0.449 0.908
Pd 0.329 0.901 0.248
Pd 0.541 0.301 0.092
Pd 0.551 0.459 0.760
Pd 0.653 0.081 0.752
Pd 0.699 0.791 0.240
Pd 0.919 0.671 0.572


No. 7
Below is PrZn2Ni after structural relaxation, with properties calculated at the PBE level.

Calculated values
energy relative to the elements: -0.269 eV per atom

Lattice parameters (Å, degrees): 4.187 4.187 15.476 90.00 90.00 120.00
Fractional coordinates of all 12 atoms:
Pr 0.000 0.000 0.000
Pr 0.333 0.667 0.667
Pr 0.667 0.333 0.333
Zn 0.000 0.000 0.204
Zn 0.000 0.000 0.796
Zn 0.333 0.667 0.463
Zn 0.333 0.667 0.871
Zn 0.667 0.333 0.129
Zn 0.667 0.333 0.537
Ni 0.000 0.000 0.500
Ni 0.333 0.667 0.167
Ni 0.667 0.333 0.833


No. 8
Below is Na2CrPbCl6 after structural relaxation, with properties calculated at the PBE level.

Calculated values
energy relative to the elements, uncorrected: -13.20 eV per formula unit

Lattice parameters (Å, degrees): 6.807 7.088 12.162 90.00 118.59 90.00
Fractional coordinates of all 20 atoms:
Na 0.208 0.084 0.234
Na 0.208 0.416 0.734
Na 0.792 0.584 0.266
Na 0.792 0.916 0.766
Cr 0.000 0.000 0.500
Cr 0.000 0.500 0.000
Pb 0.500 0.000 0.000
Pb 0.500 0.500 0.500
Cl 0.086 0.210 0.930
Cl 0.086 0.290 0.430
Cl 0.201 0.670 0.915
Cl 0.201 0.830 0.415
Cl 0.393 0.061 0.744
Cl 0.393 0.439 0.244
Cl 0.607 0.561 0.756
Cl 0.607 0.939 0.256
Cl 0.799 0.170 0.585
Cl 0.799 0.330 0.085
Cl 0.914 0.710 0.570
Cl 0.914 0.790 0.070


Number 1: N(E_F) 2.5 states/eV/f.u., total magnetization 0.00 μB/cell. Number 2: N(E_F) 3.3 states/eV/f.u., total magnetization 0.00 μB/cell. Number 3: N(E_F) 3.5 states/eV/f.u., total magnetization 0.00 μB/cell. Number 4: N(E_F) 2.9 states/eV/f.u., total magnetization 0.00 μB/cell. Number 5: N(E_F) 2.3 states/eV/f.u., total magnetization 0.00 μB/cell. Number 6: N(E_F) 4.9 states/eV/f.u., total magnetization 0.00 μB/cell. Number 7: N(E_F) 3.4 states/eV/f.u., total magnetization 0.00 μB/cell. Number 8: N(E_F) 0.0 states/eV/f.u., total magnetization 8.00 μB/cell.